Compound: CaYGa
Source: the Alexandria database
Functional: PBE
Structure: optimized geometry

Output
final energy = -4.04 eV per atom
density of states at the Fermi level = 1.457 states/eV per cell
magnetic moment = 0.0 μB/f.u.
formation energy from the elements = -0.209 eV per atom

```
CaYGa
1.0
-0.835 3.691 0.381
-4.395 -0.750 -2.363
0.277 -0.455 5.018
Y Ga Ca
1 1 1
direct
0.413 0.333 0.667 Y
0.640 0.667 0.333 Ga
0.947 0.000 0.000 Ca
```